5
Lattice="4.8030 0.0000 0.0000 0.0000 4.8030 0.0000 0.0000 0.0000 4.1771" Properties=species:S:1:pos:R:3 comment="CaSeN2F, relaxed, DFT PBE" raw_formation_energy_mev_per_atom=708 e_above_lowest_polymorph_kj_per_mol_fu=403.0 pbc="T T T"
Ca 0.0000 0.0000 0.0000
Se 2.4015 2.4015 2.0886
N 0.0000 2.4015 0.0000
N 2.4015 0.0000 0.0000
F 0.0000 0.0000 2.0886

4
Lattice="1.6526 0.9542 6.2972 -1.6526 0.9542 6.2972 0.0000 -1.9083 6.2972" Properties=species:S:1:pos:R:3 comment="TePdN2, relaxed, DFT PBE" raw_formation_energy_mev_per_atom=930 e_above_lowest_polymorph_kj_per_mol_fu=0.0 pbc="T T T"
Te 0.0000 0.0000 0.0000
Pd 0.0000 0.0000 9.4458
N 0.0000 0.0000 7.4422
N 0.0000 0.0000 11.4494

8
Lattice="2.2028 1.2718 9.0442 -2.2028 1.2718 9.0442 0.0000 -2.5436 9.0442" Properties=species:S:1:pos:R:3 comment="NpZn2SiAu4, relaxed, DFT PBE" raw_formation_energy_mev_per_atom=-62 pbc="T T T"
Np 0.0000 0.0000 0.0000
Zn 0.0000 0.0000 6.7520
Zn 0.0000 0.0000 20.3807
Si 0.0000 0.0000 13.5663
Au 0.0000 0.0000 3.5497
Au 0.0000 0.0000 10.7443
Au 0.0000 0.0000 16.3884
Au 0.0000 0.0000 23.5829